No. 1
Li3Zn2Pd4 after structural relaxation. Source: the Alexandria database, functional PBE-GGA.

Structure (CIF):
```
data_Li3Zn2Pd4
_symmetry_space_group_name_H-M 'P -3 m 1'
_symmetry_Int_Tables_number 164
_symmetry_space_group_name_Hall '-P 3 2"'
_cell_length_a 4.2636
_cell_length_b 4.2636
_cell_length_c 8.0798
_cell_angle_alpha 90.00
_cell_angle_beta 90.00
_cell_angle_gamma 120.00
loop_
_atom_site_label
_atom_site_type_symbol
_atom_site_fract_x
_atom_site_fract_y
_atom_site_fract_z
_atom_site_occupancy
Li1 Li 0.0000 0.0000 0.0000 1
Li2 Li 0.3333 0.6667 0.5561 1
Zn1 Zn 0.3333 0.6667 0.2187 1
Pd1 Pd 0.0000 0.0000 0.3267 1
Pd2 Pd 0.3333 0.6667 0.8916 1
```

## Properties
For the energy of formation from the pure elements, the calculation gives -504 meV/atom.

***

No. 2
Pr3PuPa2P6 after structural relaxation. Source: the Alexandria database, functional PBE-GGA.

Structure (CIF):
```
data_Pr3PuPa2P6
_symmetry_space_group_name_H-M 'C 1 2/m 1'
_symmetry_Int_Tables_number 12
_cell_length_a 7.066
_cell_length_b 12.236
_cell_length_c 7.104
_cell_angle_alpha 90.00
_cell_angle_beta 109.37
_cell_angle_gamma 90.00
loop_
_symmetry_equiv_pos_as_xyz
'x,y,z'
'-x,-y,-z'
'-x,y,-z'
'x,-y,z'
'x+1/2,y+1/2,z'
'-x+1/2,-y+1/2,-z'
'-x+1/2,y+1/2,-z'
'x+1/2,-y+1/2,z'
loop_
_atom_site_label
_atom_site_type_symbol
_atom_site_fract_x
_atom_site_fract_y
_atom_site_fract_z
_atom_site_occupancy
Pr1 Pr 0.000 0.000 0.000 1
Pr2 Pr 0.000 0.334 0.000 1
Pu1 Pu 0.000 0.500 0.500 1
Pa1 Pa 0.000 0.167 0.500 1
P1 P 0.239 0.000 0.731 1
P2 P 0.246 0.331 0.731 1
```

## Properties
For the energy of formation from the pure elements, the calculation gives -1400 meV/atom.

***

No. 3
SrSi2Ag after structural relaxation. Source: the Alexandria database, functional PBE-GGA.

Structure (CIF):
```
data_SrSi2Ag
_symmetry_space_group_name_H-M 'I -4 2 d'
_symmetry_Int_Tables_number 122
_symmetry_space_group_name_Hall 'I -4 2bw'
_cell_length_a 4.840
_cell_length_b 4.840
_cell_length_c 17.637
_cell_angle_alpha 90.00
_cell_angle_beta 90.00
_cell_angle_gamma 90.00
loop_
_atom_site_label
_atom_site_type_symbol
_atom_site_fract_x
_atom_site_fract_y
_atom_site_fract_z
_atom_site_occupancy
Sr1 Sr 0.000 0.000 0.000 1
Si1 Si 0.002 0.750 0.625 1
Ag1 Ag 0.000 0.000 0.500 1
```

## Properties
The raw formation energy is -0.05 eV per atom.

***

No. 4
Dy3PuRu3 after structural relaxation. Source: the Alexandria database, functional PBE-GGA.

Structure (CIF):
```
data_Dy3PuRu3
_symmetry_space_group_name_H-M 'C 1 2/m 1'
_symmetry_Int_Tables_number 12
_cell_length_a 10.283
_cell_length_b 9.241
_cell_length_c 6.643
_cell_angle_alpha 90.00
_cell_angle_beta 97.66
_cell_angle_gamma 90.00
loop_
_symmetry_equiv_pos_as_xyz
'x,y,z'
'-x,-y,-z'
'-x,y,-z'
'x,-y,z'
'x+1/2,y+1/2,z'
'-x+1/2,-y+1/2,-z'
'-x+1/2,y+1/2,-z'
'x+1/2,-y+1/2,z'
loop_
_atom_site_label
_atom_site_type_symbol
_atom_site_fract_x
_atom_site_fract_y
_atom_site_fract_z
_atom_site_occupancy
Dy1 Dy 0.000 0.189 0.000 1
Dy2 Dy 0.000 0.298 0.500 1
Dy3 Dy 0.190 0.500 0.019 1
Pu1 Pu 0.205 0.000 0.426 1
Ru1 Ru 0.068 0.000 0.702 1
Ru2 Ru 0.246 0.254 0.737 1
```

## Properties
For the energy of formation from the pure elements, the calculation gives -233 meV/atom.

***

No. 5
MnIn2Pb after structural relaxation. Source: the Alexandria database, functional PBE-GGA.

Structure (CIF):
```
data_MnIn2Pb
_symmetry_space_group_name_H-M 'I m m 2'
_symmetry_Int_Tables_number 44
_cell_length_a 3.213
_cell_length_b 4.705
_cell_length_c 13.162
_cell_angle_alpha 90.00
_cell_angle_beta 90.00
_cell_angle_gamma 90.00
loop_
_symmetry_equiv_pos_as_xyz
'x,y,z'
'-x,-y,z'
'-x,y,z'
'x,-y,z'
'x+1/2,y+1/2,z+1/2'
'-x+1/2,-y+1/2,z+1/2'
'-x+1/2,y+1/2,z+1/2'
'x+1/2,-y+1/2,z+1/2'
loop_
_atom_site_label
_atom_site_type_symbol
_atom_site_fract_x
_atom_site_fract_y
_atom_site_fract_z
_atom_site_occupancy
Mn1 Mn 0.000 0.000 0.000 1
In1 In 0.000 0.000 0.503 1
In2 In 0.000 0.500 0.319 1
Pb1 Pb 0.000 0.500 0.693 1
```

## Properties
For the energy of formation from the pure elements, the calculation gives 202 meV/atom.

***

No. 6
LaHoErPu after structural relaxation. Source: the Alexandria database, functional PBE-GGA.

Structure (CIF):
```
data_LaHoErPu
_symmetry_space_group_name_H-M 'F -4 3 m'
_symmetry_Int_Tables_number 216
_symmetry_space_group_name_Hall 'F -4 2 3'
_cell_length_a 7.963
_cell_length_b 7.963
_cell_length_c 7.963
_cell_angle_alpha 90.00
_cell_angle_beta 90.00
_cell_angle_gamma 90.00
loop_
_atom_site_label
_atom_site_type_symbol
_atom_site_fract_x
_atom_site_fract_y
_atom_site_fract_z
_atom_site_occupancy
La1 La 0.000 0.000 0.000 1
Ho1 Ho 0.000 0.000 0.500 1
Er1 Er 0.250 0.250 0.250 1
Pu1 Pu 0.250 0.250 0.750 1
```

## Properties
For the energy of formation from the pure elements, the calculation gives 202 meV/atom.

***

No. 7
ThMgZn2Au5 after structural relaxation. Source: the Alexandria database, functional PBE-GGA.

Structure (CIF):
```
data_ThMgZn2Au5
_symmetry_space_group_name_H-M 'P 4/m m m'
_symmetry_Int_Tables_number 123
_symmetry_space_group_name_Hall '-P 4 2'
_cell_length_a 4.820
_cell_length_b 4.820
_cell_length_c 8.028
_cell_angle_alpha 90.00
_cell_angle_beta 90.00
_cell_angle_gamma 90.00
loop_
_atom_site_label
_atom_site_type_symbol
_atom_site_fract_x
_atom_site_fract_y
_atom_site_fract_z
_atom_site_occupancy
Th1 Th 0.000 0.000 0.000 1
Mg1 Mg 0.000 0.000 0.500 1
Zn1 Zn 0.500 0.500 0.351 1
Au1 Au 0.000 0.500 0.244 1
Au2 Au 0.500 0.500 0.000 1
```

## Properties
For the energy of formation from the pure elements, the calculation gives -313 meV/atom.

***

No. 8
CsNaBeO2 after structural relaxation. Source: the Alexandria database, functional PBE-GGA.

Structure (CIF):
```
data_CsNaBeO2
_symmetry_space_group_name_H-M 'P 1 2/c 1'
_symmetry_Int_Tables_number 13
_cell_length_a 6.279
_cell_length_b 4.898
_cell_length_c 6.597
_cell_angle_alpha 90.00
_cell_angle_beta 101.68
_cell_angle_gamma 90.00
loop_
_symmetry_equiv_pos_as_xyz
'x,y,z'
'-x,-y,-z'
'-x,y,-z+1/2'
'x,-y,z+1/2'
loop_
_atom_site_label
_atom_site_type_symbol
_atom_site_fract_x
_atom_site_fract_y
_atom_site_fract_z
_atom_site_occupancy
Cs1 Cs 0.000 0.219 0.250 1
Na1 Na 0.500 0.487 0.750 1
Be1 Be 0.500 0.000 0.000 1
O1 O 0.341 0.216 0.974 1
```

## Properties
The raw formation energy is -1.71 eV per atom.

***

No. 9
InSbO2 after structural relaxation. Source: the Alexandria database, functional PBE-GGA.

Structure (CIF):
```
data_InSbO2
_symmetry_space_group_name_H-M 'F m -3 m'
_symmetry_Int_Tables_number 225
_symmetry_space_group_name_Hall '-F 4 2 3'
_cell_length_a 6.190
_cell_length_b 6.190
_cell_length_c 6.190
_cell_angle_alpha 90.00
_cell_angle_beta 90.00
_cell_angle_gamma 90.00
loop_
_atom_site_label
_atom_site_type_symbol
_atom_site_fract_x
_atom_site_fract_y
_atom_site_fract_z
_atom_site_occupancy
In1 In 0.000 0.000 0.000 1
Sb1 Sb 0.000 0.000 0.500 1
O1 O 0.250 0.250 0.250 1
```

## Properties
The offset from the most stable computed form comes out at 874 meV per atom. The raw formation energy is -0.31 eV per atom.

***

No. 10
La5Tb2In4 after structural relaxation. Source: the Alexandria database, functional PBE-GGA.

Structure (CIF):
```
data_La5Tb2In4
_symmetry_space_group_name_H-M 'P 1 2/m 1'
_symmetry_Int_Tables_number 10
_cell_length_a 8.950
_cell_length_b 3.460
_cell_length_c 10.925
_cell_angle_alpha 90.00
_cell_angle_beta 95.04
_cell_angle_gamma 90.00
loop_
_symmetry_equiv_pos_as_xyz
'x,y,z'
'-x,-y,-z'
'-x,y,-z'
'x,-y,z'
loop_
_atom_site_label
_atom_site_type_symbol
_atom_site_fract_x
_atom_site_fract_y
_atom_site_fract_z
_atom_site_occupancy
La1 La 0.000 0.000 0.000 1
La2 La 0.044 0.000 0.338 1
La3 La 0.346 0.000 0.861 1
Tb1 Tb 0.424 0.000 0.363 1
In1 In 0.260 0.500 0.576 1
In2 In 0.300 0.500 0.129 1
```

## Properties
The offset from the most stable computed form comes out at 0 meV per atom. For the energy of formation from the pure elements, the calculation gives -326 meV/atom.

***

No. 11
Pm2Al2BOs2 after structural relaxation. Source: the Alexandria database, functional PBE-GGA.

Structure (CIF):
```
data_Pm2Al2BOs2
_symmetry_space_group_name_H-M 'C 1 2/m 1'
_symmetry_Int_Tables_number 12
_cell_length_a 11.399
_cell_length_b 4.223
_cell_length_c 7.365
_cell_angle_alpha 90.00
_cell_angle_beta 129.71
_cell_angle_gamma 90.00
loop_
_symmetry_equiv_pos_as_xyz
'x,y,z'
'-x,-y,-z'
'-x,y,-z'
'x,-y,z'
'x+1/2,y+1/2,z'
'-x+1/2,-y+1/2,-z'
'-x+1/2,y+1/2,-z'
'x+1/2,-y+1/2,z'
loop_
_atom_site_label
_atom_site_type_symbol
_atom_site_fract_x
_atom_site_fract_y
_atom_site_fract_z
_atom_site_occupancy
Pm1 Pm 0.064 0.000 0.295 1
Al1 Al 0.153 0.500 0.702 1
B1 B 0.000 0.500 0.000 1
Os1 Os 0.205 0.500 0.090 1
```

## Properties
For the energy of formation from the pure elements, the calculation gives -431 meV/atom.

***

No. 12
V2CrN after structural relaxation. Source: the Alexandria database, functional PBE-GGA.

Structure (CIF):
```
data_V2CrN
_symmetry_space_group_name_H-M 'R -3 m'
_symmetry_Int_Tables_number 166
_symmetry_space_group_name_Hall '-R 3 2"'
_cell_length_a 2.8210
_cell_length_b 2.8210
_cell_length_c 19.1281
_cell_angle_alpha 90.00
_cell_angle_beta 90.00
_cell_angle_gamma 120.00
loop_
_atom_site_label
_atom_site_type_symbol
_atom_site_fract_x
_atom_site_fract_y
_atom_site_fract_z
_atom_site_occupancy
V1 V 0.0000 0.0000 0.2279 1
Cr1 Cr 0.0000 0.0000 0.0000 1
N1 N 0.0000 0.0000 0.5000 1
```

## Properties
The raw formation energy is -0.51 eV per atom.